Computed, not measured: NaErCdO3 after structural relaxation at the PBE level of DFT.

Values from the calculation:
**DFT total energy**: -68.14 eV for the cell shown
**ΔE_f (raw)**: -2066 meV per atom
**V**: 14.02 A^3/atom
**Crystal system**: monoclinic

POSCAR file:
```
NaErCdO3
1.0
3.2387 0.0000 0.0000
0.0000 5.8188 1.5210
0.0000 0.2147 8.9845
O Er Cd Na
6 2 2 2
Direct
0.7500 0.2253 0.3841
0.2500 0.7747 0.6159
0.2500 0.6978 0.9355
0.7500 0.7172 0.2210
0.2500 0.2828 0.7790
0.7500 0.3022 0.0645
0.2500 0.4672 0.1785
0.7500 0.5328 0.8215
0.7500 0.8136 0.4345
0.2500 0.1864 0.5655
0.2500 0.0023 0.1184
0.7500 0.9977 0.8816
```

***

Computed, not measured: NaErCd2O4 after structural relaxation at the PBE level of DFT.

Values from the calculation:
**DFT total energy**: -42.81 eV for the cell shown
**ΔE_f (raw)**: -1908 meV per atom
**V**: 13.46 A^3/atom
**Crystal system**: tetragonal

POSCAR file:
```
NaErCd2O4
1.0
4.6875 0.2553 0.0000
-0.2554 4.6874 0.0000
-2.2160 -2.4714 4.8850
Er O Cd Na
1 4 2 1
Direct
0.9373 0.9373 0.0000
0.1681 0.1681 0.4621
0.4372 0.9373 0.0000
0.7060 0.7060 0.5379
0.9373 0.4372 0.0000
0.1871 0.6871 0.5000
0.6871 0.1871 0.5000
0.4373 0.4373 0.0000
```